Run a
A relaxed TbYTlRh crystal. Source: the Alexandria database, functional PBE.

Structure (POSCAR):
```
TbYTlRh
1.0
-2.098 -2.265 -1.754
-0.719 -1.688 3.040
-5.948 4.614 1.156
Rh Tb Tl Y
1 1 1 1
Direct
0.000 0.000 0.572
0.500 0.500 0.786
0.000 0.000 0.072
0.500 0.500 0.355
```

Summary:
Space group: P4mm, No. 99
Fermi-level density of states: 1.69 states/eV/f.u.

=====

Run b
A relaxed TbYTlRh crystal. Source: the Alexandria database, functional PBE.

Structure (POSCAR):
```
TbYTlRh
1.0
-2.981 -4.153 0.451
1.461 -3.893 3.008
-2.479 -0.913 4.400
Rh Tl Tb Y
1 1 1 1
Direct
0.000 0.000 0.000
0.500 0.500 0.500
0.750 0.750 0.750
0.250 0.250 0.250
```

Summary:
Space group: F-43m, No. 216
Fermi-level density of states: 2.06 states/eV/f.u.

=====

Which structure wins on stability? run a wins.

=====

Run a
A relaxed TbTm3Rh crystal. Source: the Alexandria database, functional PBE.

Structure (POSCAR):
```
TbTm3Rh
1.0
-3.270 4.583 -4.519
-2.743 -6.600 -1.012
-1.019 1.684 6.895
Tm Tb Rh
6 2 2
Direct
0.293 0.555 0.848
0.761 0.545 0.702
0.707 0.445 0.152
0.843 0.059 0.298
0.157 0.941 0.702
0.239 0.455 0.298
0.285 0.949 0.234
0.715 0.051 0.766
0.366 0.254 0.620
0.634 0.746 0.380
```

Summary:
Space group: C2/m, No. 12
Fermi-level density of states: 5.66 states/eV/f.u.

=====

Run b
A relaxed TbTm3Rh crystal. Source: the Alexandria database, functional PBE.

Structure (POSCAR):
```
TbTm3Rh
1.0
-5.068 0.948 1.361
-1.619 -3.785 -3.391
0.363 -3.636 3.885
Tm Rh Tb
3 1 1
Direct
0.500 0.000 0.000
0.000 0.500 0.000
0.000 0.000 0.500
0.000 0.000 0.000
0.500 0.500 0.500
```

Summary:
Space group: Pm-3m, No. 221
Fermi-level density of states: 7.68 states/eV/f.u.

=====

Which structure wins on stability? run a wins.

=====

Run a
A relaxed TbTm2Rh crystal. Source: the Alexandria database, functional PBE.

Structure (POSCAR):
```
TbTm2Rh
1.0
-2.548 0.138 -2.509
-0.477 -2.766 -2.221
-7.836 -5.081 5.126
Rh Tm Tb
1 2 1
Direct
0.500 0.500 0.500
0.111 0.111 0.668
0.889 0.889 0.332
0.000 0.000 0.000
```

Summary:
Space group: R-3m, No. 166
Fermi-level density of states: 5.34 states/eV/f.u.

=====

Run b
A relaxed TbTm2Rh crystal. Source: the Alexandria database, functional PBE.

Structure (POSCAR):
```
TbTm2Rh
1.0
-1.837 1.314 2.614
2.185 -1.437 2.257
4.793 7.026 -0.165
Rh Tm Tb
1 2 1
Direct
0.500 0.500 0.000
0.000 0.000 0.810
0.000 0.000 0.190
0.500 0.500 0.500
```

Summary:
Space group: P4/mmm, No. 123
Fermi-level density of states: 4.57 states/eV/f.u.

=====

Which structure wins on stability? run b wins.

=====

Run a
A relaxed TbTm2Rh crystal. Source: the Alexandria database, functional PBE.

Structure (POSCAR):
```
TbTm2Rh
1.0
6.291 0.000 0.000
0.000 7.129 0.000
0.000 0.000 9.294
Tm Rh Tb
8 4 4
Direct
0.171 0.677 0.063
0.171 0.677 0.437
0.329 0.177 0.437
0.671 0.823 0.937
0.829 0.323 0.937
0.329 0.177 0.063
0.671 0.823 0.563
0.829 0.323 0.563
0.058 0.383 0.250
0.942 0.617 0.750
0.442 0.883 0.250
0.558 0.117 0.750
0.134 0.966 0.750
0.866 0.034 0.250
0.634 0.534 0.250
0.366 0.466 0.750
```

Summary:
Space group: Pnma, No. 62
Fermi-level density of states: 4.44 states/eV/f.u.

=====

Run b
A relaxed TbTm2Rh crystal. Source: the Alexandria database, functional PBE.

Structure (POSCAR):
```
TbTm2Rh
1.0
-3.333 0.488 1.768
-2.614 -2.763 -0.072
1.479 -4.229 8.051
Tm Tb Rh
2 1 1
Direct
0.273 0.273 0.180
0.059 0.059 0.823
0.502 0.502 0.495
0.666 0.666 0.002
```

Summary:
Space group: R3m, No. 160
Fermi-level density of states: 4.99 states/eV/f.u.

=====

Which structure wins on stability? run a wins.

=====

Run a
A relaxed TbTm3Rh2 crystal. Source: the Alexandria database, functional PBE.

Structure (POSCAR):
```
TbTm3Rh2
1.0
-2.203 -5.810 2.370
4.656 0.352 5.190
-5.718 5.986 0.029
Tm Tb Rh
6 2 4
Direct
0.233 0.983 0.466
0.500 0.250 0.000
0.500 0.750 0.000
0.233 0.483 0.466
0.767 0.517 0.534
0.767 0.017 0.534
0.000 0.500 0.000
0.000 0.000 0.000
0.151 0.861 0.722
0.849 0.139 0.278
0.429 0.639 0.278
0.571 0.361 0.722
```

Summary:
Space group: Ibam, No. 72
Fermi-level density of states: 4.73 states/eV/f.u.

=====

Run b
A relaxed TbTm3Rh2 crystal. Source: the Alexandria database, functional PBE.

Structure (POSCAR):
```
TbTm3Rh2
1.0
4.581 0.000 0.000
0.000 7.155 0.000
0.000 0.000 8.675
Tm Rh Tb
6 4 2
Direct
0.000 0.359 0.327
0.500 0.641 0.169
0.000 0.488 0.916
0.000 0.988 0.084
0.000 0.859 0.673
0.500 0.141 0.831
0.500 0.745 0.844
0.000 0.755 0.340
0.500 0.245 0.156
0.000 0.255 0.660
0.500 0.012 0.415
0.500 0.512 0.585
```

Summary:
Space group: Pmc2_1, No. 26
Fermi-level density of states: 5.71 states/eV/f.u.

=====

Which structure wins on stability? run b wins.

=====

Run a
A relaxed Tb3TmRh2 crystal. Source: the Alexandria database, functional PBE.

Structure (POSCAR):
```
Tb3TmRh2
1.0
-1.678 1.591 3.550
-1.062 -6.572 4.971
7.912 -0.961 6.699
Tb Tm Rh
6 2 4
Direct
0.212 0.172 0.404
0.664 0.698 0.975
0.788 0.828 0.596
0.947 0.889 0.216
0.336 0.302 0.025
0.053 0.111 0.784
0.427 0.480 0.666
0.573 0.520 0.334
0.861 0.439 0.840
0.383 0.816 0.417
0.139 0.561 0.160
0.617 0.184 0.583
```

Summary:
Space group: C2/m, No. 12
Fermi-level density of states: 5.26 states/eV/f.u.

=====

Run b
A relaxed Tb3TmRh2 crystal. Source: the Alexandria database, functional PBE.

Structure (POSCAR):
```
Tb3TmRh2
1.0
4.072 0.000 -1.178
-0.375 4.539 -1.295
0.111 -0.188 8.008
Tb Tm Rh
3 1 2
Direct
0.814 0.314 0.628
0.186 0.686 0.372
0.500 0.500 0.000
0.000 0.000 0.000
0.371 0.871 0.742
0.629 0.129 0.258
```

Summary:
Space group: C2/m, No. 12
Fermi-level density of states: 4.44 states/eV/f.u.

=====

Which structure wins on stability? run a wins.

=====

Run a
A relaxed Tb3YRh crystal. Source: the Alexandria database, functional PBE.

Structure (POSCAR):
```
Tb3YRh
1.0
-2.757 1.946 -4.251
-4.602 -1.998 2.070
-0.823 4.656 2.665
Rh Tb Y
1 3 1
Direct
0.000 0.000 0.000
0.000 0.500 0.000
0.000 0.000 0.500
0.500 0.000 0.000
0.500 0.500 0.500
```

Summary:
Space group: Pm-3m, No. 221
Fermi-level density of states: 8.37 states/eV/f.u.

=====

Run b
A relaxed Tb3YRh crystal. Source: the Alexandria database, functional PBE.

Structure (POSCAR):
```
Tb3YRh
1.0
6.174 -0.001 0.000
0.000 6.534 -0.001
0.000 0.001 7.580
Tb Y Rh
6 2 2
Direct
0.926 0.491 0.450
0.926 0.491 0.951
0.426 0.862 0.950
0.919 0.027 0.701
0.426 0.862 0.451
0.419 0.326 0.201
0.434 0.328 0.701
0.934 0.025 0.201
0.674 0.676 0.201
0.174 0.677 0.701
```

Summary:
Space group: Pmn2_1, No. 31
Fermi-level density of states: 6.05 states/eV/f.u.

=====

Which structure wins on stability? run b wins.

=====

Run a
A relaxed Tb2YRh2 crystal. Source: the Alexandria database, functional PBE.

Structure (POSCAR):
```
Tb2YRh2
1.0
-1.667 -3.379 -0.391
2.374 -1.598 3.691
-8.942 5.589 8.171
Tb Y Rh
4 2 4
Direct
0.948 0.750 0.896
0.734 0.250 0.469
0.266 0.750 0.531
0.052 0.250 0.104
0.637 0.750 0.273
0.363 0.250 0.727
0.533 0.750 0.065
0.160 0.250 0.320
0.840 0.750 0.680
0.467 0.250 0.935
```

Summary:
Space group: Cmcm, No. 63
Fermi-level density of states: 3.26 states/eV/f.u.

=====

Run b
A relaxed Tb2YRh2 crystal. Source: the Alexandria database, functional PBE.

Structure (POSCAR):
```
Tb2YRh2
1.0
-0.763 2.437 -3.520
-4.879 -2.618 -0.756
-6.117 6.278 5.673
Tb Rh Y
4 4 2
Direct
0.250 0.232 0.535
0.750 0.768 0.465
0.750 0.113 0.115
0.250 0.887 0.885
0.750 0.310 0.361
0.250 0.690 0.639
0.250 0.344 0.964
0.750 0.656 0.036
0.750 0.448 0.789
0.250 0.552 0.211
```

Summary:
Space group: P2_1/m, No. 11
Fermi-level density of states: 3.07 states/eV/f.u.

=====

Which structure wins on stability? run b wins.

=====

Run a
A relaxed TbY3Rh crystal. Source: the Alexandria database, functional PBE.

Structure (POSCAR):
```
TbY3Rh
1.0
-3.107 5.850 -3.085
-3.211 -5.962 -2.747
-0.838 -0.105 7.250
Y Rh Tb
6 2 2
Direct
0.710 0.448 0.159
0.842 0.049 0.288
0.761 0.554 0.712
0.239 0.446 0.288
0.290 0.552 0.841
0.158 0.951 0.712
0.374 0.249 0.623
0.626 0.751 0.377
0.709 0.052 0.761
0.291 0.948 0.239
```

Summary:
Space group: C2/m, No. 12
Fermi-level density of states: 5.79 states/eV/f.u.

=====

Run b
A relaxed TbY3Rh crystal. Source: the Alexandria database, functional PBE.

Structure (POSCAR):
```
TbY3Rh
1.0
3.739 0.000 0.614
1.814 6.016 0.642
-0.141 -0.557 12.540
Y Tb Rh
6 2 2
Direct
0.781 0.046 0.391
0.430 0.624 0.515
0.990 0.110 0.909
0.446 0.956 0.153
0.768 0.709 0.755
0.097 0.175 0.630
0.115 0.491 0.279
0.223 0.554 0.999
0.429 0.358 0.785
0.781 0.313 0.125
```

Summary:
Space group: Cm, No. 8
Fermi-level density of states: 6.09 states/eV/f.u.

=====

Which structure wins on stability? run b wins.

=====

Run a
A relaxed TbZn2Rh2 crystal. Source: the Alexandria database, functional PBE.

Structure (POSCAR):
```
TbZn2Rh2
1.0
-3.088 -0.119 -0.062
0.310 -5.606 -4.668
0.067 -4.670 5.612
Zn Rh Tb
4 4 2
Direct
0.000 0.620 0.120
0.000 0.120 0.380
0.000 0.380 0.880
0.000 0.880 0.620
0.500 0.824 0.324
0.500 0.324 0.176
0.500 0.676 0.824
0.500 0.176 0.676
0.000 0.500 0.500
0.000 0.000 0.000
```

Summary:
Space group: P4/mbm, No. 127
Fermi-level density of states: 1.61 states/eV/f.u.

=====

Run b
A relaxed TbZn2Rh2 crystal. Source: the Alexandria database, functional PBE.

Structure (POSCAR):
```
TbZn2Rh2
1.0
5.178 -0.637 -0.003
-2.356 4.655 -0.003
-1.397 -1.989 8.359
Tb Zn Rh
2 4 4
Direct
0.125 0.375 0.250
0.875 0.625 0.750
0.502 0.751 0.003
0.498 0.249 0.997
0.251 0.002 0.503
0.749 0.998 0.497
0.792 0.708 0.250
0.459 0.041 0.250
0.208 0.292 0.750
0.541 0.959 0.750
```

Summary:
Space group: C2/c, No. 15
Fermi-level density of states: 5.48 states/eV/f.u.

=====

Which structure wins on stability? run a wins.

=====

Run a
A relaxed Tb3ZnRh crystal. Source: the Alexandria database, functional PBE.

Structure (POSCAR):
```
Tb3ZnRh
1.0
5.148 -0.317 2.394
1.600 4.903 2.394
-0.003 -0.002 9.365
Tb Zn Rh
6 2 2
Direct
0.920 0.920 0.294
0.714 0.714 0.706
0.696 0.696 0.109
0.080 0.080 0.706
0.304 0.304 0.891
0.286 0.286 0.294
0.695 0.305 0.500
0.305 0.695 0.500
0.250 0.750 0.000
0.750 0.250 0.000
```

Summary:
Space group: Fmmm, No. 69
Fermi-level density of states: 3.49 states/eV/f.u.

=====

Run b
A relaxed Tb3ZnRh crystal. Source: the Alexandria database, functional PBE.

Structure (POSCAR):
```
Tb3ZnRh
1.0
7.251 0.002 0.001
-0.003 8.697 0.162
-0.003 1.924 8.483
Tb Zn Rh
12 4 4
Direct
0.508 0.700 0.036
0.992 0.700 0.036
0.508 0.964 0.300
0.500 0.372 0.372
0.000 0.628 0.628
0.008 0.036 0.700
0.492 0.036 0.700
0.492 0.300 0.964
0.008 0.300 0.964
0.000 0.372 0.372
0.500 0.628 0.628
0.992 0.964 0.300
0.750 0.010 0.990
0.750 0.324 0.676
0.250 0.676 0.324
0.250 0.990 0.010
0.250 0.571 0.872
0.750 0.429 0.128
0.250 0.128 0.429
0.750 0.872 0.571
```

Summary:
Space group: Cmcm, No. 63
Fermi-level density of states: 3.90 states/eV/f.u.

=====

Which structure wins on stability? run a wins.